one.
Computed, not measured: MgTlCd after structural relaxation at the PBEsol level of DFT.

abc: 3.3087 3.3087 7.4211
angles: 90.00 90.00 120.00
Last column: nearest neighbours and their distance in Å.
Sites, in units of the cell vectors:
1 Mg 0.3333 0.6667 0.6769  3 Cd 3.00, 3 Tl 3.18, 6 Mg 3.31
2 Cd 0.0000 0.0000 0.9888  3 Mg 3.00, 3 Tl 3.20, 6 Cd 3.31
3 Tl 0.6667 0.3333 0.3343  3 Mg 3.18, 3 Cd 3.20, 6 Tl 3.31

Calculated values
**Mass density**: 8.1 g/cm³
**D(E_F)**: 0.406 states/eV/atom


two.
Computed, not measured: MgTlCd after structural relaxation at the PBEsol level of DFT.

abc: 3.4060 4.3390 5.4532
angles: 113.44 108.20 90.00
Last column: nearest neighbours and their distance in Å.
Sites, in units of the cell vectors:
1 Cd 0.0029 0.0029 0.0057  5 Tl 3.11-3.19, 5 Mg 3.15-3.19, 2 Cd 3.41
2 Tl 0.3333 0.3333 0.6666  5 Cd 3.11-3.19, 5 Mg 3.11-3.19, 2 Tl 3.41
3 Mg 0.6638 0.6638 0.3277  5 Tl 3.11-3.19, 5 Cd 3.15-3.19, 2 Mg 3.41

Calculated values
**Mass density**: 8.1 g/cm³
**D(E_F)**: 0.365 states/eV/atom


Short version: one is the least stable of them.


one.
Computed, not measured: Mg2ZnCd after structural relaxation at the PBEsol level of DFT.

abc: 3.2490 4.0577 5.9215
angles: 90.00 90.00 90.00
Last column: nearest neighbours and their distance in Å.
Sites, in units of the cell vectors:
1 Zn 0.0000 0.0000 0.4907  6 Mg 2.91-2.96, 4 Cd 3.01, 2 Zn 3.25
2 Mg 0.0000 0.0000 0.9909  2 Zn 2.96, 4 Cd 2.97, 6 Mg 3.08-3.25
3 Mg 0.5000 0.5000 0.2700  2 Cd 2.83-3.09, 4 Zn 2.91, 4 Mg 3.08
4 Cd 0.5000 0.5000 0.7484  6 Mg 2.83-3.09, 4 Zn 3.01

Calculated values
**Mass density**: 4.8 g/cm³
**D(E_F)**: 0.364 states/eV/atom


two.
Computed, not measured: Mg2ZnCd after structural relaxation at the PBEsol level of DFT.

abc: 3.2230 4.8213 5.7874
angles: 114.62 106.17 90.00
Last column: nearest neighbours and their distance in Å.
Sites, in units of the cell vectors:
1 Cd 0.2312 0.7312 0.4624  2 Zn 2.79, 6 Mg 2.93-3.08
2 Zn 0.5036 0.5036 0.0072  2 Cd 2.79, 6 Mg 2.83-2.90
3 Mg 0.9938 0.9938 0.9876  4 Zn 2.90, 2 Cd 3.08, 4 Mg 3.21-3.22
4 Mg 0.7714 0.2714 0.5428  2 Zn 2.83, 4 Cd 2.93

Calculated values
**Mass density**: 4.8 g/cm³
**D(E_F)**: 0.365 states/eV/atom


three.
Computed, not measured: Mg2ZnCd after structural relaxation at the PBEsol level of DFT.

abc: 3.3359 3.3359 6.8058
angles: 90.00 90.00 90.00
Last column: nearest neighbours and their distance in Å.
Sites, in units of the cell vectors:
1 Mg 0.0000 0.0000 0.7684  4 Zn 2.84, 4 Cd 2.98, 1 Mg 3.15
2 Mg 0.0000 0.0000 0.2316  4 Zn 2.84, 4 Cd 2.98, 1 Mg 3.15
3 Cd 0.5000 0.5000 0.5000  8 Mg 2.98, 4 Cd 3.34
4 Zn 0.5000 0.5000 0.0000  8 Mg 2.84

Calculated values
**Mass density**: 5.0 g/cm³
**D(E_F)**: 0.349 states/eV/atom


four.
Computed, not measured: Mg2ZnCd after structural relaxation at the PBEsol level of DFT.

abc: 3.1043 5.0922 5.5085
angles: 111.04 106.37 90.00
Last column: nearest neighbours and their distance in Å.
Sites, in units of the cell vectors:
1 Zn 0.5096 0.4396 0.0191  2 Cd 2.83, 7 Mg 2.86-3.09, 2 Zn 3.10
2 Mg 0.7668 0.3182 0.5336  3 Zn 2.86-3.01, 4 Cd 2.99-3.01, 3 Mg 3.10-3.20
3 Mg 0.9912 0.9481 0.9823  4 Zn 2.89-3.09, 3 Cd 2.94-2.98, 5 Mg 3.10-3.22
4 Cd 0.2325 0.7941 0.4649  2 Zn 2.83, 7 Mg 2.94-3.01, 2 Cd 3.10

Calculated values
**Mass density**: 4.9 g/cm³
**D(E_F)**: 0.338 states/eV/atom


Short version: one is the least stable of them.


one.
Computed, not measured: Mg2ZnCd after structural relaxation at the PBEsol level of DFT.

abc: 3.1194 4.9771 5.4665
angles: 101.03 90.00 108.26
Last column: nearest neighbours and their distance in Å.
Sites, in units of the cell vectors:
1 Mg 0.7445 0.4889 0.7394  3 Zn 2.88-2.97, 3 Cd 2.95-2.99, 4 Mg 3.07-3.12
2 Mg 0.2555 0.5111 0.2606  3 Zn 2.88-2.97, 3 Cd 2.95-2.99, 4 Mg 3.07-3.12
3 Zn 0.0000 0.0000 0.5000  6 Mg 2.88-2.97, 2 Zn 3.12, 4 Cd 3.15
4 Cd 0.5000 0.0000 0.0000  6 Mg 2.95-2.99, 2 Cd 3.12, 4 Zn 3.15

Calculated values
**Mass density**: 4.8 g/cm³
**D(E_F)**: 0.382 states/eV/atom


two.
Computed, not measured: Mg2ZnCd after structural relaxation at the PBEsol level of DFT.

abc: 4.7579 4.7579 4.7579
angles: 60.00 60.00 60.00
Last column: nearest neighbours and their distance in Å.
Sites, in units of the cell vectors:
1 Cd 0.0000 0.0000 0.0000  8 Mg 2.91
2 Mg 0.7500 0.7500 0.7500  4 Cd 2.91, 4 Zn 2.91
3 Mg 0.2500 0.2500 0.2500  4 Cd 2.91, 4 Zn 2.91
4 Zn 0.5000 0.5000 0.5000  8 Mg 2.91

Calculated values
**Mass density**: 4.9 g/cm³
**D(E_F)**: 0.353 states/eV/atom


Short version: one is the least stable of them.


one.
Computed, not measured: Mg2ZnCd after structural relaxation at the PBEsol level of DFT.

abc: 3.0876 3.0876 8.2088
angles: 90.00 90.00 90.00
Last column: nearest neighbours and their distance in Å.
Sites, in units of the cell vectors:
1 Zn 0.0000 0.0000 0.5017  4 Mg 2.85, 4 Cd 2.87, 4 Zn 3.09
2 Mg 0.0000 0.0000 0.9908  4 Cd 3.06, 8 Mg 3.09-3.22
3 Mg 0.5000 0.5000 0.2784  4 Zn 2.85, 4 Mg 3.09
4 Cd 0.5000 0.5000 0.7292  4 Zn 2.87, 4 Mg 3.06, 4 Cd 3.09

Calculated values
**Mass density**: 4.8 g/cm³
**D(E_F)**: 0.379 states/eV/atom


two.
Computed, not measured: Mg2ZnCd after structural relaxation at the PBEsol level of DFT.

abc: 3.1257 3.5945 6.7843
angles: 90.00 90.00 90.00
Last column: nearest neighbours and their distance in Å.
Sites, in units of the cell vectors:
1 Zn 0.5000 0.5000 0.0000  8 Mg 2.85, 2 Zn 3.13
2 Mg 0.0000 0.0000 0.2320  4 Zn 2.85, 4 Cd 3.00, 3 Mg 3.13-3.15
3 Mg 0.0000 0.0000 0.7680  4 Zn 2.85, 4 Cd 3.00, 3 Mg 3.13-3.15
4 Cd 0.5000 0.5000 0.5000  8 Mg 3.00, 2 Cd 3.13

Calculated values
**Mass density**: 4.9 g/cm³
**D(E_F)**: 0.323 states/eV/atom


three.
Computed, not measured: Mg2ZnCd after structural relaxation at the PBEsol level of DFT.

abc: 4.4123 5.0140 4.4123
angles: 63.90 90.00 116.10
Last column: nearest neighbours and their distance in Å.
Sites, in units of the cell vectors:
1 Mg 0.7500 0.5000 0.7500  4 Cd 2.95, 4 Zn 2.95, 4 Mg 3.12
2 Mg 0.2500 0.5000 0.2500  4 Zn 2.95, 4 Cd 2.95, 4 Mg 3.12
3 Cd 0.5000 0.0000 0.5000  8 Mg 2.95, 4 Zn 3.12
4 Zn 0.0000 0.0000 0.0000  8 Mg 2.95, 4 Cd 3.12

Calculated values
**Mass density**: 4.9 g/cm³
**D(E_F)**: 0.338 states/eV/atom


four.
Computed, not measured: Mg2ZnCd after structural relaxation at the PBEsol level of DFT.

abc: 4.2050 4.2050 5.2852
angles: 113.44 113.44 90.00
Last column: nearest neighbours and their distance in Å.
Sites, in units of the cell vectors:
1 Mg 0.0000 0.0000 0.0000  4 Zn 2.97, 4 Cd 3.03, 4 Mg 3.03
2 Mg 0.7500 0.2500 0.5000  4 Cd 2.97, 4 Mg 3.03, 4 Zn 3.03
3 Cd 0.2500 0.7500 0.5000  8 Mg 2.97-3.03, 4 Zn 3.03
4 Zn 0.5000 0.5000 0.0000  8 Mg 2.97-3.03, 4 Cd 3.03

Calculated values
**Mass density**: 4.9 g/cm³
**D(E_F)**: 0.351 states/eV/atom


Short version: one is the least stable of them.